Compound: Dy2SnPd6
Source: Alexandria
Functional: PBE
Structure: relaxed

Results
Symmetry: C2/m (12)
N(E_F) in states/eV/atom: 0.361
Electronic total energy in eV/atom: -5.4774
Magnetization in μB per formula unit: 0.0
Formation energy from the elements in meV/atom: -548

Unit cell a=7.8104 b=7.8104 c=3.6514 alpha=103.47 beta=103.47 gamma=60.73
Last column: nearest neighbours and their distance in Å.
Fractional positions:
1 Dy 0.1580 0.1580 0.1623  8 Pd 2.86-2.88
2 Dy 0.8420 0.8420 0.8377  8 Pd 2.86-2.88
3 Sn 0.5000 0.5000 0.5000  8 Pd 2.67-2.77
4 Pd 0.1143 0.5533 0.3322  1 Sn 2.77, 4 Pd 2.83-2.89, 3 Dy 2.86-2.88
5 Pd 0.2526 0.7474 0.0000  2 Sn 2.67, 4 Pd 2.83-2.84, 2 Dy 2.86
6 Pd 0.4467 0.8857 0.6678  1 Sn 2.77, 4 Pd 2.83-2.89, 3 Dy 2.86-2.88
7 Pd 0.5533 0.1143 0.3322  1 Sn 2.77, 4 Pd 2.83-2.89, 3 Dy 2.86-2.88
8 Pd 0.7474 0.2526 0.0000  2 Sn 2.67, 4 Pd 2.83-2.84, 2 Dy 2.86
9 Pd 0.8857 0.4467 0.6678  1 Sn 2.77, 4 Pd 2.83-2.89, 3 Dy 2.86-2.88